Record 1
PBE-GGA TbPmDy6Tm2, relaxed; ΔH_f (0 K) = 0.12 eV/atom; total magnetic moment = 0.00 μB/f.u.
1.0
9.0308 -1.9766 -2.0513
0.8563 8.4835 -1.9681
0.8563 -2.2812 8.4048
Dy Tb Pm Tm
12 2 2 4
Direct
0.3822 0.5117 0.2924
0.6821 0.0166 0.5637
0.8179 0.4363 0.9834
0.6178 0.4883 0.7076
0.4437 0.2462 0.8801
0.0563 0.1199 0.7538
0.1178 0.7076 0.4883
0.3179 0.9834 0.4363
0.9437 0.8801 0.2462
0.5563 0.7538 0.1199
0.1821 0.5637 0.0166
0.8822 0.2924 0.5117
0.7500 0.5904 0.4096
0.2500 0.4096 0.5904
0.7500 0.0280 0.9720
0.2500 0.9720 0.0280
0.4526 0.8009 0.6970
0.9526 0.6970 0.8009
0.5474 0.1991 0.3030
0.0474 0.3030 0.1991

---

Record 2
PBE-GGA Tb2Pm3Dy6Tm, relaxed; ΔH_f (0 K) = 0.02 eV/atom; total magnetic moment = 0.00 μB/f.u.
1.0
-3.9485 4.5069 1.5089
0.0681 -5.2586 3.2438
9.2191 4.7895 5.6160
Pm Dy Tb Tm
3 6 2 1
Direct
0.5000 0.5000 0.5000
0.1666 0.8334 0.5000
0.8334 0.1666 0.5000
0.2501 0.2501 0.7529
0.0827 0.4156 0.2469
0.5844 0.9173 0.7531
0.4156 0.0827 0.2469
0.7499 0.7499 0.2471
0.9173 0.5844 0.7531
0.3334 0.6666 0.0000
0.6666 0.3334 0.0000
0.0000 0.0000 0.0000

---

Record 3
PBE-GGA TbPm3Dy6Tm2, relaxed; ΔH_f (0 K) = 0.02 eV/atom; total magnetic moment = 0.00 μB/f.u.
1.0
6.1682 0.0009 0.0056
-3.0818 5.3432 0.0056
-1.0352 -1.7924 11.6079
Tm Pm Dy Tb
2 3 6 1
Direct
0.3333 0.6667 0.0000
0.6667 0.3333 0.0000
0.5000 0.5000 0.5000
0.1668 0.8332 0.5000
0.8332 0.1668 0.5000
0.9176 0.5839 0.7537
0.5839 0.9176 0.7537
0.7487 0.7487 0.2462
0.4161 0.0824 0.2463
0.2513 0.2513 0.7538
0.0824 0.4161 0.2463
0.0000 0.0000 0.0000

---

Record 4
PBE-GGA TbPm4DyTm2, relaxed; ΔH_f (0 K) = 0.02 eV/atom; total magnetic moment = 0.00 μB/f.u.
1.0
5.1027 0.0000 0.0000
0.0000 4.9948 0.9390
0.0001 3.1467 10.7957
Pm Tm Tb Dy
4 2 1 1
Direct
0.0000 0.2498 0.2500
0.5000 0.2509 0.7495
0.0000 0.7502 0.7500
0.5000 0.7491 0.2505
0.0000 0.0000 0.0000
0.5000 0.0000 0.5000
0.5000 0.5000 0.0000
0.0000 0.5000 0.5000

---

Record 5
PBE-GGA Tb6PmDy2Tm, relaxed; ΔH_f (0 K) = 0.12 eV/atom; total magnetic moment = 0.00 μB/f.u.
1.0
9.1022 -2.0113 -2.0872
0.8139 8.5125 -2.0039
0.8139 -2.3180 8.4324
Dy Tb Tm Pm
4 12 2 2
Direct
0.5455 0.1999 0.3037
0.0455 0.3037 0.1999
0.9545 0.6963 0.8001
0.4545 0.8001 0.6963
0.9439 0.8768 0.2490
0.3808 0.5076 0.2918
0.5561 0.7510 0.1232
0.8808 0.2918 0.5076
0.3154 0.9842 0.4335
0.6846 0.0158 0.5665
0.1192 0.7082 0.4924
0.8154 0.4335 0.9842
0.6192 0.4924 0.7082
0.0561 0.1232 0.7510
0.1846 0.5665 0.0158
0.4439 0.2490 0.8768
0.2500 0.4096 0.5904
0.7500 0.5904 0.4096
0.2500 0.9759 0.0241
0.7500 0.0241 0.9759

---

Record 6
PBE-GGA Tb6PmDy3Tm2, relaxed; ΔH_f (0 K) = 0.02 eV/atom; total magnetic moment = 0.00 μB/f.u.
1.0
-4.1635 -4.4032 1.0187
3.2547 -0.0019 -5.2122
8.4323 -5.0552 6.4682
Tm Dy Tb Pm
2 3 6 1
Direct
0.3333 0.6667 0.0000
0.6667 0.3333 0.0000
0.5000 0.5000 0.5000
0.8331 0.1669 0.5000
0.1669 0.8331 0.5000
0.7496 0.7496 0.2500
0.0838 0.4179 0.2502
0.2504 0.2504 0.7500
0.9162 0.5821 0.7498
0.5821 0.9162 0.7498
0.4179 0.0838 0.2502
0.0000 0.0000 0.0000

---

Record 7
PBE-GGA TbPm6Dy3Tm2, relaxed; ΔH_f (0 K) = 0.01 eV/atom; total magnetic moment = 0.00 μB/f.u.
1.0
-2.6984 -5.5557 0.8024
4.9160 0.5561 -3.7835
6.3796 -0.5058 9.9185
Pm Dy Tb Tm
6 3 1 2
Direct
0.5827 0.9165 0.7509
0.2502 0.2502 0.7509
0.7498 0.7498 0.2491
0.9165 0.5827 0.7509
0.0835 0.4173 0.2491
0.4173 0.0835 0.2491
0.5000 0.5000 0.5000
0.1668 0.8332 0.5000
0.8332 0.1668 0.5000
0.0000 0.0000 0.0000
0.3334 0.6666 0.0000
0.6666 0.3334 0.0000

---

Record 8
PBE-GGA Tb2Pm4Dy2Tm, relaxed; ΔH_f (0 K) = 0.02 eV/atom; total magnetic moment = 0.00 μB/f.u.
1.0
5.0754 0.0000 0.0000
-2.5377 7.6190 0.0182
0.0000 -2.5622 7.5919
Pm Tb Dy Tm
4 2 2 1
Direct
0.5546 0.1091 0.3315
0.4454 0.8909 0.6685
0.2224 0.4448 0.3321
0.7776 0.5552 0.6679
0.8886 0.7773 0.3304
0.1114 0.2227 0.6696
0.3335 0.6670 0.0002
0.6665 0.3330 0.9998
0.0000 0.0000 0.0000

---

Record 9
PBE-GGA Tb3PmDyTm, relaxed; ΔH_f (0 K) = 0.20 eV/atom; total magnetic moment = 0.00 μB/f.u.
1.0
5.4360 0.0000 0.0000
-2.7180 10.7285 2.5528
0.0000 -0.6249 6.7369
Tm Dy Tb Pm
2 2 6 2
Direct
0.0721 0.1441 0.3395
0.9279 0.8559 0.6605
0.3345 0.6690 0.5310
0.6655 0.3310 0.4690
0.2258 0.4516 0.1877
0.7742 0.5484 0.8123
0.1677 0.3355 0.7239
0.8323 0.6645 0.2761
0.4756 0.9512 0.2725
0.5244 0.0488 0.7275
0.3688 0.7377 0.9725
0.6312 0.2623 0.0275

---

Record 10
PBE-GGA TbPm4Dy2Tm, relaxed; ΔH_f (0 K) = 0.02 eV/atom; total magnetic moment = 0.00 μB/f.u.
1.0
-0.5047 0.0919 3.5643
-3.2888 -5.2741 -0.3297
8.6536 -7.9642 1.4306
Dy Tm Pm Tb
2 1 4 1
Direct
0.5000 0.0000 0.5000
0.0000 0.0000 0.0000
0.0000 0.5000 0.5000
0.5000 0.2501 0.7487
0.0000 0.2502 0.2508
0.0000 0.7498 0.7492
0.5000 0.7499 0.2513
0.5000 0.5000 0.0000

---

Record 11
PBE-GGA Tb2Pm6DyTm3, relaxed; ΔH_f (0 K) = 0.01 eV/atom; total magnetic moment = 0.00 μB/f.u.
1.0
-4.6826 -2.6898 3.0954
-0.1692 0.3441 -6.2126
7.0186 -9.4595 0.3199
Pm Dy Tb Tm
6 1 2 3
Direct
0.0843 0.4175 0.2520
0.7511 0.7511 0.2520
0.4175 0.0843 0.2520
0.9157 0.5825 0.7480
0.2489 0.2489 0.7480
0.5825 0.9157 0.7480
0.0000 0.0000 0.0000
0.3333 0.6667 0.0000
0.6667 0.3333 0.0000
0.8333 0.1667 0.5000
0.5000 0.5000 0.5000
0.1667 0.8333 0.5000

---

Record 12
PBE-GGA Tb2PmDyTm6, relaxed; ΔH_f (0 K) = 0.12 eV/atom; total magnetic moment = 0.00 μB/f.u.
1.0
9.0013 -2.0498 -2.1272
0.8286 8.4318 -1.9984
0.8286 -2.3096 8.3520
Tm Tb Pm Dy
12 4 2 2
Direct
0.1183 0.7087 0.4925
0.6183 0.4925 0.7087
0.3817 0.5075 0.2913
0.4422 0.2526 0.8750
0.0578 0.1250 0.7474
0.1833 0.5696 0.0211
0.8817 0.2913 0.5075
0.3167 0.9789 0.4304
0.5578 0.7474 0.1250
0.6833 0.0211 0.5696
0.9422 0.8750 0.2526
0.8167 0.4304 0.9789
0.0453 0.3020 0.1961
0.4547 0.8039 0.6980
0.5453 0.1961 0.3020
0.9547 0.6980 0.8039
0.2500 0.9764 0.0236
0.7500 0.0236 0.9764
0.2500 0.4090 0.5910
0.7500 0.5910 0.4090